The following is a PBE calculation of a relaxed GaH4Cl crystal, from Alexandria.

Computed properties:
DOS(E_F) (states/eV/cell): 0.00
E_tot (eV per atom): -3.257

abc: 7.078 7.082 7.984
angles: 80.56 80.75 29.32
Positions (direct):
Ga (0.898, 0.894, 0.250)
Ga (0.102, 0.106, 0.750)
H (0.834, 0.826, 0.427)
H (0.877, 0.877, 0.065)
H (0.791, 0.794, 0.729)
H (0.780, 0.781, 0.825)
H (0.166, 0.174, 0.573)
H (0.209, 0.206, 0.271)
H (0.123, 0.123, 0.935)
H (0.220, 0.219, 0.175)
Cl (0.511, 0.505, 0.261)
Cl (0.489, 0.495, 0.739)



The following is a PBE calculation of a relaxed RbIN2F crystal, from Alexandria.

Computed properties:
DOS(E_F) (states/eV/cell): 9.11
Energy relative to the lowest polymorph listed for this composition (eV/f.u.): 4.41
Uncorrected formation energy (meV per atom): 1381

abc: 6.055 6.055 4.953
angles: 90.00 90.00 90.00
Site moments in Bohr magnetons follow the coordinates.
Positions (direct):
I (0.500, 0.500, 0.500)  -0.34
N (0.000, 0.500, 0.000)  1.90
N (0.500, 0.000, 0.000)  1.90
Rb (0.000, 0.000, 0.000)  0.02
F (0.000, 0.000, 0.500)  -0.17



The following is a PBE calculation of a relaxed Ti6Pt2S crystal, from Alexandria.

Computed properties:
DOS(E_F) (states/eV/cell): 10.30
Uncorrected formation energy (meV per atom): -765

abc: 3.473 6.907 6.916
angles: 119.95 90.00 90.00
Positions (direct):
Ti (0.500, 0.613, 0.000)
Ti (0.500, 0.387, 0.386)
Ti (0.500, 0.001, 0.614)
Ti (0.000, 0.252, 0.000)
Ti (0.000, 0.748, 0.748)
Ti (0.000, 0.000, 0.252)
Pt (0.000, 0.333, 0.666)
Pt (0.000, 0.667, 0.334)
S (0.500, 0.000, 0.000)



The following is a PBE calculation of a relaxed In3AgO6 crystal, from Alexandria.

Computed properties:
DOS(E_F) (states/eV/cell): 11.64
Uncorrected formation energy (meV per atom): -1046

abc: 5.495 6.979 6.979
angles: 103.25 90.00 90.00
Site moments in Bohr magnetons follow the coordinates.
Positions (direct):
In (0.459, 0.909, 0.667)  0.00
In (0.959, 0.667, 0.909)  0.00
In (0.405, 0.397, 0.603)  0.00
In (0.905, 0.603, 0.397)  0.00
In (0.959, 0.091, 0.333)  0.00
In (0.459, 0.333, 0.091)  0.00
Ag (0.979, 0.139, 0.861)  0.12
Ag (0.479, 0.861, 0.139)  0.12
O (0.171, 0.684, 0.643)  0.03
O (0.671, 0.643, 0.684)  0.03
O (0.200, 0.423, 0.889)  0.14
O (0.700, 0.889, 0.423)  0.14
O (0.302, 0.035, 0.965)  0.01
O (0.639, 0.216, 0.784)  0.11
O (0.139, 0.784, 0.216)  0.11
O (0.802, 0.965, 0.035)  0.01
O (0.200, 0.111, 0.577)  0.14
O (0.700, 0.577, 0.111)  0.14
O (0.171, 0.357, 0.316)  0.03
O (0.671, 0.316, 0.357)  0.03



no.,magnetic moment (μB per cell)
1,0.00
2,4.99
3,0.00
4,1.29